No. 1
A relaxed structure of CdCu2SnTe2Se2. Source: OQMD via LeMat-Bulk, functional PBE.

abc: 7.3956 7.3896 6.1089
angles: 65.65 65.54 48.81
With the nearest neighbours (Å) after each atom.
Sites, in units of the cell vectors:
Se1 0.8850 0.3987 0.1150  2 Cu 2.47, 1 Sn 2.65, 1 Cd 2.72
Se2 0.3987 0.8850 0.6013  2 Cu 2.47, 1 Sn 2.65, 1 Cd 2.72
Cu1 0.2407 0.2407 0.2593  2 Se 2.47, 2 Te 2.58
Te1 0.1088 0.6078 0.3922  2 Cu 2.58, 1 Sn 2.80, 1 Cd 2.83
Cu2 0.7407 0.7407 0.7593  2 Se 2.47, 2 Te 2.58
Sn1 0.5076 0.5076 0.4924  2 Se 2.65, 2 Te 2.80
Cd1 0.0107 0.0107 0.9893  2 Se 2.72, 2 Te 2.83
Te2 0.6078 0.1088 0.8912  2 Cu 2.58, 1 Sn 2.80, 1 Cd 2.83

- VASP energy (eV/atom) = -3.486
- space-group type = Fmm2, No. 42
- crystal system = orthorhombic

No. 2
A relaxed structure of YAlCoNi. Source: OQMD via LeMat-Bulk, functional PBE.

abc: 4.4888 4.4888 4.4888
angles: 60.00 60.00 60.00
With the nearest neighbours (Å) after each atom.
Sites, in units of the cell vectors:
Ni1 0.5000 0.5000 0.5000  4 Y 2.75, 4 Co 2.75
Al1 0.0000 0.0000 0.0000  4 Y 2.75, 4 Co 2.75
Y1 0.2500 0.2500 0.2500  4 Ni 2.75, 4 Al 2.75
Co1 0.7500 0.7500 0.7500  4 Ni 2.75, 4 Al 2.75

- M_tot (μB/f.u.) = 1.46
- VASP energy (eV/atom) = -5.721
- space-group type = F-43m, No. 216
- crystal system = cubic

No. 3
A relaxed structure of AcTbNi. Source: OQMD via LeMat-Bulk, functional PBE.

abc: 4.9756 4.9756 4.9756
angles: 60.00 60.00 60.00
With the nearest neighbours (Å) after each atom.
Sites, in units of the cell vectors:
Ac1 0.2500 0.2500 0.2500  4 Ni 3.05
Tb1 0.7500 0.7500 0.7500  4 Ni 3.05
Ni1 0.0000 0.0000 0.0000  4 Ac 3.05, 4 Tb 3.05

- M_tot (μB/f.u.) = 0.00
- energy of formation from the pure elements (kJ/mol of formula units) = -5
- VASP energy (eV/atom) = -4.787
- space-group type = F-43m, No. 216
- crystal system = cubic

No. 4
A relaxed structure of LaGd2Co2B2N3. Source: OQMD via LeMat-Bulk, functional PBE.

abc: 10.4205 10.4205 10.4205
angles: 160.28 160.28 28.02
With the nearest neighbours (Å) after each atom.
Sites, in units of the cell vectors:
N1 0.5000 0.5000 0.0000  4 La 2.52, 2 Gd 2.61
B1 0.1973 0.1973 0.0000  1 N 1.49
Co1 0.2500 0.7500 0.5000  4 B 2.08
N2 0.8764 0.8764 0.0000  1 B 1.49
N3 0.1236 0.1236 0.0000  1 B 1.49
Gd1 0.6291 0.6291 0.0000  5 N 2.53-2.61
La1 0.0000 0.0000 0.0000  6 N 2.50-2.52
B2 0.8027 0.8027 0.0000  1 N 1.49
Co2 0.7500 0.2500 0.5000  4 B 2.08
Gd2 0.3709 0.3709 0.0000  5 N 2.53-2.61

- M_tot (μB/f.u.) = 0.03
- VASP energy (eV/atom) = -7.774
- space-group type = I4/mmm, No. 139
- crystal system = tetragonal

No. 5
A relaxed structure of Cu7Ag3. Source: OQMD via LeMat-Bulk, functional PBE.

abc: 4.5685 2.7495 10.9622
angles: 90.00 93.89 90.00
With the nearest neighbours (Å) after each atom.
Sites, in units of the cell vectors:
Ag1 0.0000 0.5000 0.0000  10 Cu 2.67-2.70, 2 Ag 2.75
Ag2 0.2293 0.5000 0.5942  9 Cu 2.66-2.78, 3 Ag 2.75-2.84
Ag3 0.7707 0.5000 0.4058  9 Cu 2.66-2.78, 3 Ag 2.75-2.84
Cu1 0.8883 0.0000 0.2005  8 Cu 2.54-2.75, 4 Ag 2.67-2.72
Cu2 0.5000 0.0000 0.0000  8 Cu 2.59-2.75, 4 Ag 2.67
Cu3 0.2731 0.0000 0.3783  5 Cu 2.54-2.75, 6 Ag 2.66-2.76
Cu4 0.7269 0.0000 0.6217  5 Cu 2.54-2.75, 6 Ag 2.66-2.76
Cu5 0.4001 0.5000 0.1935  10 Cu 2.55-2.75, 2 Ag 2.70-2.78
Cu6 0.1117 0.0000 0.7995  8 Cu 2.54-2.75, 4 Ag 2.67-2.72
Cu7 0.5999 0.5000 0.8065  10 Cu 2.55-2.75, 2 Ag 2.70-2.78

- energy of formation from the pure elements (kJ/mol of formula units) = 89
- VASP energy (eV/atom) = -3.357
- space-group type = P2/m, No. 10
- crystal system = monoclinic

No. 6
A relaxed structure of ErNi5P3. Source: OQMD via LeMat-Bulk, functional PBE.

abc: 6.0778 6.0778 11.3592
angles: 90.00 90.00 146.04
With the nearest neighbours (Å) after each atom.
Sites, in units of the cell vectors:
Ni1 0.0493 0.9507 0.8548  4 P 2.26-2.30, 3 Ni 2.38-2.49
P1 0.3821 0.6179 0.2500  6 Ni 2.23-2.28
Ni2 0.9507 0.0493 0.3548  4 P 2.26-2.30, 3 Ni 2.38-2.49
Er1 0.6614 0.3386 0.2500  7 P 2.98-3.25, 8 Ni 3.13-3.25
Ni3 0.2993 0.7007 0.0725  2 P 2.13-2.23
Er2 0.3386 0.6614 0.7500  7 P 2.98-3.25, 8 Ni 3.13-3.25
P2 0.8821 0.1179 0.5445  5 Ni 2.13-2.30
P3 0.8821 0.1179 0.9555  5 Ni 2.13-2.30
Ni4 0.2993 0.7007 0.4275  2 P 2.13-2.23
P4 0.1179 0.8821 0.0445  5 Ni 2.13-2.30
Ni5 0.7007 0.2993 0.9275  2 P 2.13-2.23
Ni6 0.5000 0.5000 0.0000  4 P 2.30, 6 Ni 2.47-2.49
P5 0.6179 0.3821 0.7500  6 Ni 2.23-2.28
Ni7 0.5000 0.5000 0.5000  4 P 2.30, 6 Ni 2.47-2.49
Ni8 0.7007 0.2993 0.5725  2 P 2.13-2.23
P6 0.1179 0.8821 0.4555  5 Ni 2.13-2.30
Ni9 0.9507 0.0493 0.1452  4 P 2.26-2.30, 3 Ni 2.38-2.49
Ni10 0.0493 0.9507 0.6452  4 P 2.26-2.30, 3 Ni 2.38-2.49

- M_tot (μB/f.u.) = 0.01
- VASP energy (eV/atom) = -6.166
- space-group type = Cmcm, No. 63
- crystal system = orthorhombic

Copy entry 5 word for word.
A relaxed structure of Cu7Ag3. Source: OQMD via LeMat-Bulk, functional PBE.

abc: 4.5685 2.7495 10.9622
angles: 90.00 93.89 90.00
With the nearest neighbours (Å) after each atom.
Sites, in units of the cell vectors:
Ag1 0.0000 0.5000 0.0000  10 Cu 2.67-2.70, 2 Ag 2.75
Ag2 0.2293 0.5000 0.5942  9 Cu 2.66-2.78, 3 Ag 2.75-2.84
Ag3 0.7707 0.5000 0.4058  9 Cu 2.66-2.78, 3 Ag 2.75-2.84
Cu1 0.8883 0.0000 0.2005  8 Cu 2.54-2.75, 4 Ag 2.67-2.72
Cu2 0.5000 0.0000 0.0000  8 Cu 2.59-2.75, 4 Ag 2.67
Cu3 0.2731 0.0000 0.3783  5 Cu 2.54-2.75, 6 Ag 2.66-2.76
Cu4 0.7269 0.0000 0.6217  5 Cu 2.54-2.75, 6 Ag 2.66-2.76
Cu5 0.4001 0.5000 0.1935  10 Cu 2.55-2.75, 2 Ag 2.70-2.78
Cu6 0.1117 0.0000 0.7995  8 Cu 2.54-2.75, 4 Ag 2.67-2.72
Cu7 0.5999 0.5000 0.8065  10 Cu 2.55-2.75, 2 Ag 2.70-2.78

- energy of formation from the pure elements (kJ/mol of formula units) = 89
- VASP energy (eV/atom) = -3.357
- space-group type = P2/m, No. 10
- crystal system = monoclinic

What did the third record say?
A relaxed structure of AcTbNi. Source: OQMD via LeMat-Bulk, functional PBE.

abc: 4.9756 4.9756 4.9756
angles: 60.00 60.00 60.00
With the nearest neighbours (Å) after each atom.
Sites, in units of the cell vectors:
Ac1 0.2500 0.2500 0.2500  4 Ni 3.05
Tb1 0.7500 0.7500 0.7500  4 Ni 3.05
Ni1 0.0000 0.0000 0.0000  4 Ac 3.05, 4 Tb 3.05

- M_tot (μB/f.u.) = 0.00
- energy of formation from the pure elements (kJ/mol of formula units) = -5
- VASP energy (eV/atom) = -4.787
- space-group type = F-43m, No. 216
- crystal system = cubic

Q: What is the formula in the second record?
A: YAlCoNi

Q: What is the VASP energy in the third record?
A: -4.787 eV/atom